No. 1
# Nb3H2, relaxed, DFT PBE-GGA
data_Nb3H2
_chemical_formula_sum 'Nb6 H4'
_space_group_name_H-M_alt 'C 1 2/m 1'
_space_group_IT_number 12
_cell_length_a 8.4734
_cell_length_b 4.8633
_cell_length_c 2.9275
_cell_angle_alpha 90.00
_cell_angle_beta 90.53
_cell_angle_gamma 90.00
loop_
_space_group_symop_operation_xyz
'x,y,z'
'-x,-y,-z'
'-x,y,-z'
'x,-y,z'
'x+1/2,y+1/2,z'
'-x+1/2,-y+1/2,-z'
'-x+1/2,y+1/2,-z'
'x+1/2,-y+1/2,z'
loop_
_atom_site_label
_atom_site_fract_x
_atom_site_fract_y
_atom_site_fract_z
_atom_site_occupancy
Nb1 0.0000 0.0000 0.0000 1
Nb2 0.1748 0.5000 0.6712 1
H1 0.0000 0.2618 0.5000 1
# total moment = 0.00 μB per atom
# density of states at the Fermi level = 0.407 states/eV/atom
# polymorph energy (0 for the lowest one) = 0.00 kcal/mol of atoms

=====

No. 2
# Ba2H6PdAu, relaxed, DFT PBE-GGA
data_Ba2H6PdAu
_chemical_formula_sum 'Ba4 H12 Pd2 Au2'
_space_group_name_H-M_alt 'C 1 2/m 1'
_space_group_IT_number 12
_cell_length_a 8.2748
_cell_length_b 8.0385
_cell_length_c 5.8892
_cell_angle_alpha 90.00
_cell_angle_beta 134.54
_cell_angle_gamma 90.00
loop_
_space_group_symop_operation_xyz
'x,y,z'
'-x,-y,-z'
'-x,y,-z'
'x,-y,z'
'x+1/2,y+1/2,z'
'-x+1/2,-y+1/2,-z'
'-x+1/2,y+1/2,-z'
'x+1/2,-y+1/2,z'
loop_
_atom_site_label
_atom_site_fract_x
_atom_site_fract_y
_atom_site_fract_z
_atom_site_occupancy
Ba1 0.0000 0.2500 0.0000 1
H1 0.0000 0.2189 0.5000 1
H2 0.2082 0.5000 0.9173 1
H3 0.2104 0.5000 0.4990 1
Pd1 0.0000 0.5000 0.5000 1
Au1 0.0000 0.0000 0.5000 1
# total moment = 0.00 μB per atom
# calculated total energy = -73.51 eV for the cell shown
# density of states at the Fermi level = 0.193 states/eV/atom

=====

No. 3
# RbMnBr6, relaxed, DFT PBE-GGA
data_RbMnBr6
_chemical_formula_sum 'Rb2 Mn2 Br12'
_space_group_name_H-M_alt 'C 1 2/m 1'
_space_group_IT_number 12
_cell_length_a 9.4024
_cell_length_b 9.0426
_cell_length_c 7.2712
_cell_angle_alpha 90.00
_cell_angle_beta 114.18
_cell_angle_gamma 90.00
loop_
_space_group_symop_operation_xyz
'x,y,z'
'-x,-y,-z'
'-x,y,-z'
'x,-y,z'
'x+1/2,y+1/2,z'
'-x+1/2,-y+1/2,-z'
'-x+1/2,y+1/2,-z'
'x+1/2,-y+1/2,z'
loop_
_atom_site_label
_atom_site_fract_x
_atom_site_fract_y
_atom_site_fract_z
_atom_site_occupancy
Rb1 0.0000 0.0000 0.0000 1
Mn1 0.0000 0.5000 0.5000 1
Br1 0.1354 0.3081 0.7499 1
Br2 0.2126 0.5000 0.3922 1
# total moment = 0.32 μB per atom
# calculated total energy = -51.61 eV for the cell shown
# density of states at the Fermi level = 1.088 states/eV/atom

=====

No. 4
# Tb3MnTl3Se8, relaxed, DFT PBE-GGA
data_Tb3MnTl3Se8
_chemical_formula_sum 'Tb9 Mn3 Tl9 Se24'
_space_group_name_H-M_alt 'R -3 m'
_space_group_IT_number 166
_space_group_name_Hall '-R 3 2"'
_cell_length_a 8.1534
_cell_length_b 8.1534
_cell_length_c 23.5465
_cell_angle_alpha 90.00
_cell_angle_beta 90.00
_cell_angle_gamma 120.00
loop_
_atom_site_label
_atom_site_fract_x
_atom_site_fract_y
_atom_site_fract_z
_atom_site_occupancy
Tb1 0.0000 0.5000 0.0000 1
Mn1 0.0000 0.0000 0.0000 1
Tl1 0.0000 0.5000 0.5000 1
Se1 0.0000 0.0000 0.2640 1
Se2 0.0328 0.5164 0.7300 1
# total moment = 0.21 μB per atom
# calculated total energy = -225.05 eV for the cell shown
# density of states at the Fermi level = 0.134 states/eV/atom

=====

No. 5
# SrTmGa2Au5, relaxed, DFT PBE-GGA
data_SrTmGa2Au5
_chemical_formula_sum 'Sr1 Tm1 Ga2 Au5'
_space_group_name_H-M_alt 'P 4/m m m'
_space_group_IT_number 123
_space_group_name_Hall '-P 4 2'
_cell_length_a 5.0181
_cell_length_b 5.0181
_cell_length_c 8.5651
_cell_angle_alpha 90.00
_cell_angle_beta 90.00
_cell_angle_gamma 90.00
loop_
_atom_site_label
_atom_site_fract_x
_atom_site_fract_y
_atom_site_fract_z
_atom_site_occupancy
Sr1 0.0000 0.0000 0.0000 1
Tm1 0.0000 0.0000 0.5000 1
Ga1 0.5000 0.5000 0.2987 1
Au1 0.0000 0.5000 0.3134 1
Au2 0.5000 0.5000 0.0000 1
# total moment = 0.00 μB per atom
# calculated formation energy = -411 kJ/mol of formula units
# density of states at the Fermi level = 0.382 states/eV/atom

=====

No. 6
# La2YPd2, relaxed, DFT PBE-GGA
data_La2YPd2
_chemical_formula_sum 'La4 Y2 Pd4'
_space_group_name_H-M_alt 'P 4/m b m'
_space_group_IT_number 127
_space_group_name_Hall '-P 4 2ab'
_cell_length_a 8.5956
_cell_length_b 8.5956
_cell_length_c 3.4522
_cell_angle_alpha 90.00
_cell_angle_beta 90.00
_cell_angle_gamma 90.00
loop_
_atom_site_label
_atom_site_fract_x
_atom_site_fract_y
_atom_site_fract_z
_atom_site_occupancy
La1 0.1362 0.3638 0.0000 1
Y1 0.0000 0.0000 0.0000 1
Pd1 0.1718 0.6718 0.5000 1
# total moment = 0.00 μB per atom
# calculated formation energy = -216 kJ/mol of formula units
# density of states at the Fermi level = 1.313 states/eV/atom
# polymorph energy (0 for the lowest one) = 5.34 kcal/mol of atoms